(1)
# Hf3TiIn2

A relaxed structure of Hf3TiIn2 (PBE, Alexandria).

a b c (Å): 8.969 8.969 8.969
angles (deg): 160.54 145.71 39.73
Fractional coordinates of all 6 atoms:
Hf 0.000 0.000 0.000
Hf 0.331 0.831 0.500
Hf 0.669 0.169 0.500
Ti 0.500 0.000 0.500
In 0.157 0.657 0.500
In 0.843 0.343 0.500

Summary:
The space group is Immm. The crystal system is orthorhombic. For the distance to the lowest polymorph of the same formula, the calculation gives 408 meV per atom.

---

(2)
# La6ZnAu

A relaxed structure of La6ZnAu (PBE, Alexandria).

a b c (Å): 9.594 9.594 5.366
angles (deg): 106.19 106.19 32.48
Fractional coordinates of all 8 atoms:
La 0.104 0.104 0.104
La 0.248 0.248 0.748
La 0.396 0.396 0.396
La 0.604 0.604 0.604
La 0.752 0.752 0.252
La 0.896 0.896 0.896
Zn 0.000 0.000 0.500
Au 0.500 0.500 0.000

Summary:
The space group is C2/m. The crystal system is monoclinic. For the distance to the lowest polymorph of the same formula, the calculation gives 0 meV per atom.

---

(3)
# SiPRu2

A relaxed structure of SiPRu2 (PBE, Alexandria).

a b c (Å): 4.495 4.495 4.312
angles (deg): 102.89 102.89 38.04
Fractional coordinates of all 4 atoms:
Si 0.000 0.000 0.000
P 0.755 0.755 0.350
Ru 0.262 0.262 0.895
Ru 0.491 0.491 0.483

Summary:
The space group is Cm. The formation energy (no corrections) comes out at -1.861 eV per formula unit. The crystal system is monoclinic. For the distance to the lowest polymorph of the same formula, the calculation gives 10 meV per atom.

---

(4)
# Rb2SiSb

A relaxed structure of Rb2SiSb (PBE, Alexandria).

a b c (Å): 10.304 9.818 7.710
angles (deg): 90.00 103.75 90.00
Fractional coordinates of all 16 atoms:
Rb 0.229 0.095 0.175
Rb 0.229 0.405 0.675
Rb 0.241 0.623 0.116
Rb 0.241 0.877 0.616
Rb 0.759 0.123 0.384
Rb 0.759 0.377 0.884
Rb 0.771 0.595 0.325
Rb 0.771 0.905 0.825
Si 0.452 0.614 0.519
Si 0.452 0.886 0.019
Si 0.548 0.114 0.981
Si 0.548 0.386 0.481
Sb 0.468 0.164 0.628
Sb 0.468 0.336 0.128
Sb 0.532 0.664 0.872
Sb 0.532 0.836 0.372

Summary:
The space group is P2_1/c. The formation energy (no corrections) comes out at -0.220 eV per formula unit. The crystal system is monoclinic. For the distance to the lowest polymorph of the same formula, the calculation gives 0 meV per atom.

---

(5)
# LiPmLuGe

A relaxed structure of LiPmLuGe (PBE, Alexandria).

a b c (Å): 5.034 5.034 5.034
angles (deg): 60.00 60.00 60.00
Fractional coordinates of all 4 atoms:
Li 0.000 0.000 0.000
Pm 0.750 0.750 0.750
Lu 0.250 0.250 0.250
Ge 0.500 0.500 0.500

Summary:
The space group is F-43m. The value obtained for the electronic total energy is -17.35 eV/cell. The crystal system is cubic.

---

(6)
# TiMn2Ga2

A relaxed structure of TiMn2Ga2 (PBE, Alexandria).

a b c (Å): 5.017 4.124 7.753
angles (deg): 90.00 105.97 90.00
Fractional coordinates of all 10 atoms:
Ti 0.115 0.250 0.262
Ti 0.885 0.750 0.738
Mn 0.096 0.250 0.919
Mn 0.330 0.750 0.454
Mn 0.670 0.250 0.546
Mn 0.904 0.750 0.081
Ga 0.207 0.250 0.625
Ga 0.387 0.750 0.074
Ga 0.613 0.250 0.926
Ga 0.793 0.750 0.375

Summary:
The space group is P2_1/m. The crystal system is monoclinic. For the distance to the lowest polymorph of the same formula, the calculation gives 30 meV per atom.

---

(7)
# TlPb

A relaxed structure of TlPb (PBE, Alexandria).

a b c (Å): 10.747 9.722 5.946
angles (deg): 82.86 63.85 33.30
Fractional coordinates of all 8 atoms:
Tl 0.032 0.718 0.032
Tl 0.282 0.968 0.282
Tl 0.718 0.032 0.718
Tl 0.968 0.282 0.968
Pb 0.288 0.288 0.462
Pb 0.462 0.462 0.288
Pb 0.538 0.538 0.712
Pb 0.712 0.712 0.538

Summary:
The space group is Fddd. The value obtained for the electronic total energy is -23.62 eV/cell. The crystal system is orthorhombic.

---

(8)
# Ta3C

A relaxed structure of Ta3C (PBE, Alexandria).

a b c (Å): 5.006 5.006 5.006
angles (deg): 116.07 116.07 116.07
Fractional coordinates of all 4 atoms:
Ta 0.000 0.500 0.500
Ta 0.500 0.000 0.500
Ta 0.500 0.500 0.000
C 0.000 0.000 0.000

Summary:
The space group is R-3m. The crystal system is trigonal. For the distance to the lowest polymorph of the same formula, the calculation gives 1360 meV per atom.

---

(9)
# Pa2Sb2Te

A relaxed structure of Pa2Sb2Te (PBE, Alexandria).

a b c (Å): 7.546 7.546 7.546
angles (deg): 147.00 132.56 59.00
Fractional coordinates of all 5 atoms:
Pa 0.167 0.167 0.000
Pa 0.833 0.833 0.000
Sb 0.337 0.837 0.500
Sb 0.663 0.163 0.500
Te 0.000 0.500 0.500

Summary:
The space group is Immm. The formation energy (no corrections) comes out at -1.823 eV per formula unit. The crystal system is orthorhombic.

---

(10)
# Y2FeSb

A relaxed structure of Y2FeSb (PBE, Alexandria).

a b c (Å): 4.985 4.985 4.985
angles (deg): 60.00 60.00 60.00
Fractional coordinates of all 4 atoms:
Y 0.000 0.000 0.000
Y 0.250 0.250 0.250
Fe 0.750 0.750 0.750
Sb 0.500 0.500 0.500

Summary:
The space group is F-43m. The formation energy (no corrections) comes out at 0.320 eV per formula unit. The crystal system is cubic.

---

(11)
# BiPtN2F

A relaxed structure of BiPtN2F (PBE, Alexandria).

a b c (Å): 4.351 4.351 4.225
angles (deg): 90.00 90.00 90.00
Fractional coordinates of all 5 atoms:
Bi 0.000 0.000 0.000
Pt 0.500 0.500 0.500
N 0.000 0.500 0.000
N 0.500 0.000 0.000
F 0.000 0.000 0.500

Summary:
The space group is P4/mmm. The formation energy (no corrections) comes out at 6.665 eV per formula unit. The crystal system is tetragonal. For the distance to the lowest polymorph of the same formula, the calculation gives 665 meV per atom.

---

no.,density of states at the Fermi level (states/eV/cell)
1,7.10
2,12.11
3,1.90
4,4.75
5,2.21
6,8.99
7,3.03
8,2.30
9,7.96
10,3.47
11,2.35